Material: LiTcW2
Method: DFT, PBE
State: relaxed

```
LiTcW2
1.0
3.1162 0.0000 0.0000
0.0000 4.4182 0.0000
0.0000 0.0000 9.0763
Li Tc W
2 2 4
Cartesian
0.0000 0.0000 0.0000
1.5581 2.2091 0.0000
0.0000 2.2091 6.8183
1.5581 0.0000 6.8183
0.0000 0.0000 4.6496
0.0000 2.2091 2.3947
1.5581 0.0000 2.3947
1.5581 2.2091 4.6496
```

Values from the calculation:
space-group type = Cmm2 (35)
density = 12.56 Mg/m³
raw total energy = -9.291 eV per atom
energy above the most stable polymorph in this dataset = 0 meV/atom
energy relative to the elements = 25 kJ per mole of atoms
total magnetic moment = 0.00 μB/f.u.